[1]
## Ta2B2Rh (PBEsol)

Data for a relaxed structure of Ta2B2Rh.

## Properties
Space group   P4/mbm (127)
Energy of formation   -0.72 eV per atom
E_tot   -10.17 eV/atom

a = 5.7445 Å, b = 5.7445 Å, c = 3.5319 Å
α = 90.00°, β = 90.00°, γ = 90.00°
Element x y z (fractional)
1 Ta 0.1745 0.3255 0.0000
2 Ta 0.3255 0.8255 0.0000
3 Ta 0.6745 0.1745 0.0000
4 Ta 0.8255 0.6745 0.0000
5 B 0.1155 0.6155 0.5000
6 B 0.3845 0.1155 0.5000
7 B 0.6155 0.8845 0.5000
8 B 0.8845 0.3845 0.5000
9 Rh 0.0000 0.0000 0.5000
10 Rh 0.5000 0.5000 0.5000

[2]
## TaB2Rh (PBEsol)

Data for a relaxed structure of TaB2Rh.

## Properties
Space group   I4_1/amd (141)
Energy of formation   0.27 eV per atom
E_tot   -8.41 eV/atom

a = 7.7572 Å, b = 7.7572 Å, c = 7.7572 Å
α = 152.52°, β = 152.52°, γ = 39.25°
Element x y z (fractional)
1 Ta 0.3750 0.6250 0.7500
2 Ta 0.6250 0.3750 0.2500
3 B 0.0000 0.0000 0.0000
4 B 0.0000 0.0000 0.5000
5 B 0.0000 0.5000 0.0000
6 B 0.5000 0.0000 0.5000
7 Rh 0.1250 0.8750 0.2500
8 Rh 0.8750 0.1250 0.7500

[3]
## Tb2B6Rh9 (PBEsol)

Data for a relaxed structure of Tb2B6Rh9.

## Properties
Space group   P6/mmm (191)
Energy of formation   -0.66 eV per atom
E_tot   -8.04 eV/atom

a = 5.5339 Å, b = 5.5339 Å, c = 8.4763 Å
α = 90.00°, β = 90.00°, γ = 120.00°
Element x y z (fractional)
1 Tb 0.0000 0.0000 0.2056
2 Tb 0.0000 0.0000 0.7944
3 B 0.3333 0.6667 0.1674
4 B 0.3333 0.6667 0.5000
5 B 0.3333 0.6667 0.8326
6 B 0.6667 0.3333 0.1674
7 B 0.6667 0.3333 0.5000
8 B 0.6667 0.3333 0.8326
9 Rh 0.0000 0.5000 0.0000
10 Rh 0.0000 0.5000 0.3360
11 Rh 0.0000 0.5000 0.6640
12 Rh 0.5000 0.0000 0.0000
13 Rh 0.5000 0.0000 0.3360
14 Rh 0.5000 0.0000 0.6640
15 Rh 0.5000 0.5000 0.0000
16 Rh 0.5000 0.5000 0.3360
17 Rh 0.5000 0.5000 0.6640

[4]
## TbB4Rh4 (PBEsol)

Data for a relaxed structure of TbB4Rh4.

## Properties
Space group   P4_2/nmc (137)
Energy of formation   -0.65 eV per atom
E_tot   -7.94 eV/atom

a = 5.2784 Å, b = 5.2784 Å, c = 7.3707 Å
α = 90.00°, β = 90.00°, γ = 90.00°
Element x y z (fractional)
1 Tb 0.2500 0.7500 0.2500
2 Tb 0.7500 0.2500 0.7500
3 B 0.0798 0.2500 0.0998
4 B 0.2500 0.0798 0.5998
5 B 0.2500 0.4202 0.5998
6 B 0.4202 0.2500 0.0998
7 B 0.5798 0.7500 0.9002
8 B 0.7500 0.5798 0.4002
9 B 0.7500 0.9202 0.4002
10 B 0.9202 0.7500 0.9002
11 Rh 0.0014 0.7500 0.6053
12 Rh 0.2500 0.5014 0.8947
13 Rh 0.2500 0.9986 0.8947
14 Rh 0.4986 0.7500 0.6053
15 Rh 0.5014 0.2500 0.3947
16 Rh 0.7500 0.0014 0.1053
17 Rh 0.7500 0.4986 0.1053
18 Rh 0.9986 0.2500 0.3947

[5]
## TbBRh3 (PBEsol)

Data for a relaxed structure of TbBRh3.

## Properties
Space group   Pm-3m (221)
Energy of formation   -0.79 eV per atom
E_tot   -8.08 eV/atom

a = 4.1458 Å, b = 4.1458 Å, c = 4.1458 Å
α = 90.00°, β = 90.00°, γ = 90.00°
Element x y z (fractional)
1 Tb 0.0000 0.0000 0.0000
2 B 0.5000 0.5000 0.5000
3 Rh 0.0000 0.5000 0.5000
4 Rh 0.5000 0.0000 0.5000
5 Rh 0.5000 0.5000 0.0000

[6]
## TbB2Rh3 (PBEsol)

Data for a relaxed structure of TbB2Rh3.

## Properties
Space group   P6/mmm (191)
Energy of formation   -0.76 eV per atom
E_tot   -8.00 eV/atom

a = 5.3500 Å, b = 5.3500 Å, c = 3.1055 Å
α = 90.00°, β = 90.00°, γ = 120.00°
Element x y z (fractional)
1 Tb 0.0000 0.0000 0.0000
2 B 0.3333 0.6667 0.0000
3 B 0.6667 0.3333 0.0000
4 Rh 0.0000 0.5000 0.5000
5 Rh 0.5000 0.0000 0.5000
6 Rh 0.5000 0.5000 0.5000

[7]
## TcB2Rh (PBEsol)

Data for a relaxed structure of TcB2Rh.

## Properties
Space group   Fm-3m (225)
Energy of formation   0.02 eV per atom
E_tot   -8.34 eV/atom

a = 3.7988 Å, b = 3.7988 Å, c = 3.7988 Å
α = 60.00°, β = 60.00°, γ = 60.00°
Element x y z (fractional)
1 Tc 0.0000 0.0000 0.0000
2 B 0.2500 0.2500 0.2500
3 B 0.7500 0.7500 0.7500
4 Rh 0.5000 0.5000 0.5000

[8]
## BTeRh3 (PBEsol)

Data for a relaxed structure of BTeRh3.

## Properties
Formation energy from raw total energies   -5 kJ/mol of formula units
Space group   Pm-3m (221)
E_tot   -7.00 eV/atom

a = 4.1483 Å, b = 4.1483 Å, c = 4.1483 Å
α = 90.00°, β = 90.00°, γ = 90.00°
Element x y z (fractional)
1 B 0.0000 0.0000 0.0000
2 Te 0.5000 0.5000 0.5000
3 Rh 0.0000 0.0000 0.5000
4 Rh 0.0000 0.5000 0.0000
5 Rh 0.5000 0.0000 0.0000

[9]
## ThBRh3 (PBEsol)

Data for a relaxed structure of ThBRh3.

## Properties
Space group   Pm-3m (221)
Energy of formation   -0.88 eV per atom
E_tot   -8.79 eV/atom

a = 4.2200 Å, b = 4.2200 Å, c = 4.2200 Å
α = 90.00°, β = 90.00°, γ = 90.00°
Element x y z (fractional)
1 Th 0.0000 0.0000 0.0000
2 B 0.5000 0.5000 0.5000
3 Rh 0.0000 0.5000 0.5000
4 Rh 0.5000 0.0000 0.5000
5 Rh 0.5000 0.5000 0.0000

[10]
## Ti3BRh (PBEsol)

Data for a relaxed structure of Ti3BRh.

## Properties
Space group   Pm-3m (221)
Energy of formation   -0.20 eV per atom
E_tot   -8.22 eV/atom

a = 4.1735 Å, b = 4.1735 Å, c = 4.1735 Å
α = 90.00°, β = 90.00°, γ = 90.00°
Element x y z (fractional)
1 Ti 0.0000 0.0000 0.5000
2 Ti 0.0000 0.5000 0.0000
3 Ti 0.5000 0.0000 0.0000
4 B 0.0000 0.0000 0.0000
5 Rh 0.5000 0.5000 0.5000

[11]
## Ti2BRh6 (PBEsol)

Data for a relaxed structure of Ti2BRh6.

## Properties
Space group   Fm-3m (225)
Energy of formation   -0.70 eV per atom
E_tot   -8.75 eV/atom

a = 5.5072 Å, b = 5.5072 Å, c = 5.5072 Å
α = 60.00°, β = 60.00°, γ = 60.00°
Element x y z (fractional)
1 Ti 0.2500 0.2500 0.2500
2 Ti 0.7500 0.7500 0.7500
3 B 0.0000 0.0000 0.0000
4 Rh 0.2587 0.2587 0.7413
5 Rh 0.2587 0.7413 0.2587
6 Rh 0.2587 0.7413 0.7413
7 Rh 0.7413 0.2587 0.2587
8 Rh 0.7413 0.2587 0.7413
9 Rh 0.7413 0.7413 0.2587

[12]
## Tl2BRhW (PBEsol)

Data for a relaxed structure of Tl2BRhW.

## Properties
Space group   P4/mmm (123)
Energy of formation   1.98 eV per atom
E_tot   -4.86 eV/atom

a = 5.3327 Å, b = 5.3327 Å, c = 4.5854 Å
α = 90.00°, β = 90.00°, γ = 90.00°
Element x y z (fractional)
1 Tl 0.0000 0.5000 0.0000
2 Tl 0.5000 0.0000 0.0000
3 B 0.0000 0.0000 0.5000
4 Rh 0.5000 0.5000 0.5000
5 W 0.5000 0.5000 0.0000